Material: KSr2Hg2
Method: DFT, meta-GGA SCAN
State: PBEsol geometry

Cell: 7.397 7.397 7.397 Å, 135.79 135.79 64.31°
Atoms (fractional coordinates):
K 0.000 0.000 0.000
Sr 0.250 0.750 0.500
Sr 0.750 0.250 0.500
Hg 0.388 0.388 0.000
Hg 0.612 0.612 0.000


Material: ZnMoP2Pb
Method: DFT, meta-GGA SCAN
State: PBEsol geometry

Cell: 5.090 5.090 5.331 Å, 90.00 90.00 90.00°
Atoms (fractional coordinates):
Zn 0.000 0.000 0.000
Mo 0.500 0.500 0.000
P 0.000 0.500 0.500
P 0.500 0.000 0.500
Pb 0.500 0.500 0.500


Material: Ca2TlW
Method: DFT, meta-GGA SCAN
State: PBEsol geometry

Cell: 3.628 3.628 8.055 Å, 90.00 90.00 90.00°
Atoms (fractional coordinates):
Ca 0.000 0.000 0.000
Ca 0.500 0.500 0.377
Tl 0.000 0.000 0.616
W 0.500 0.500 0.762


Material: ZnPt5
Method: DFT, meta-GGA SCAN
State: PBEsol geometry

Cell: 2.762 2.762 11.512 Å, 90.00 90.00 90.00°
Atoms (fractional coordinates):
Zn 0.000 0.000 0.000
Pt 0.000 0.000 0.330
Pt 0.000 0.000 0.670
Pt 0.500 0.500 0.156
Pt 0.500 0.500 0.500
Pt 0.500 0.500 0.844


Material: Li2Ga2Au
Method: DFT, meta-GGA SCAN
State: PBEsol geometry

Cell: 6.998 6.998 6.998 Å, 150.97 150.97 41.52°
Atoms (fractional coordinates):
Li 0.250 0.750 0.500
Li 0.750 0.250 0.500
Ga 0.098 0.098 0.000
Ga 0.902 0.902 0.000
Au 0.500 0.500 0.000


Material: AcTb3
Method: DFT, meta-GGA SCAN
State: PBEsol geometry

Cell: 6.188 6.188 6.188 Å, 131.31 131.31 71.32°
Atoms (fractional coordinates):
Ac 0.000 0.000 0.000
Tb 0.250 0.750 0.500
Tb 0.500 0.500 0.000
Tb 0.750 0.250 0.500


no.,electronic total energy (eV per atom),formation enthalpy at 0 K (eV/f.u.)
1,-38.19,-1.8
2,-27.12,9.4
3,-39.69,2.6
4,-60.92,-1.0
5,-21.48,-0.8
6,-57.64,0.2